Material: RbBAs2
Method: DFT, PBE-GGA
State: relaxed

## Properties
magnetic moment	0.00	μB per atom
calculated formation energy	270	meV per atom
N(E_F)	0.0	states/eV per cell
space group	No. 122

abc: 5.774 5.774 12.366
angles: 90.00 90.00 90.00
Sites, in units of the cell vectors:
Rb 0.000 0.000 0.000
Rb 0.000 0.500 0.250
Rb 0.500 0.000 0.750
Rb 0.500 0.500 0.500
B 0.000 0.000 0.500
B 0.000 0.500 0.750
B 0.500 0.000 0.250
B 0.500 0.500 0.000
As 0.062 0.250 0.625
As 0.250 0.562 0.875
As 0.250 0.938 0.375
As 0.438 0.250 0.125
As 0.562 0.750 0.125
As 0.750 0.062 0.375
As 0.750 0.438 0.875
As 0.938 0.750 0.625

Material: Rb3BAs
Method: DFT, PBE-GGA
State: relaxed

## Properties
magnetic moment	0.64	μB per atom
calculated formation energy	885	meV per atom
N(E_F)	6.7	states/eV per cell
space group	No. 221

abc: 6.065 6.065 6.065
angles: 90.00 90.00 90.00
Sites, in units of the cell vectors:
Rb 0.000 0.000 0.500
Rb 0.000 0.500 0.000
Rb 0.500 0.000 0.000
B 0.000 0.000 0.000
As 0.500 0.500 0.500